Compound: Zr2MnCd
Source: Alexandria
Functional: meta-GGA SCAN
Structure: PBEsol geometry

Results
- SG = No. 160
- ΔH_f (0 K) (eV per atom) = 0.0473
- E_tot (eV per atom) = -27.469
- M_tot (μB per atom) = 0.7824

Lattice parameters (Å, degrees): 3.073 3.073 9.730 80.92 80.92 60.00
Last column: magnetic moment on the atom in μB.
Element x y z (fractional)
Cd: 0.493 0.493 0.520  -0.04
Mn: 0.749 0.749 0.753  3.69
Zr: 0.007 0.007 0.978  -0.31
Zr: 0.250 0.250 0.249  -0.07

***

Compound: Zr2MnCd
Source: Alexandria
Functional: meta-GGA SCAN
Structure: PBEsol geometry

Results
- SG = No. 216
- ΔH_f (0 K) (eV per atom) = -0.0774
- E_tot (eV per atom) = -27.594
- M_tot (μB per atom) = 0.2510

Lattice parameters (Å, degrees): 4.711 4.711 4.711 60.00 60.00 60.00
Last column: magnetic moment on the atom in μB.
Element x y z (fractional)
Cd: 0.500 0.500 0.500  -0.04
Mn: 0.750 0.750 0.750  3.65
Zr: 0.000 0.000 0.000  -1.04
Zr: 0.250 0.250 0.250  -0.89

***

Compound: Zr2MnCd
Source: Alexandria
Functional: meta-GGA SCAN
Structure: PBEsol geometry

Results
- SG = No. 123
- ΔH_f (0 K) (eV per atom) = -0.1551
- E_tot (eV per atom) = -27.672
- M_tot (μB per atom) = 0.0000

Lattice parameters (Å, degrees): 3.144 3.144 7.407 90.00 90.01 90.00
Element x y z (fractional)
Mn: 0.500 0.500 0.500
Zr: 0.000 0.000 0.706
Zr: 0.000 0.000 0.294
Cd: 0.500 0.500 0.000

***

Compound: CdMo2
Source: Alexandria
Functional: meta-GGA SCAN
Structure: PBEsol geometry

Results
- SG = No. 63
- ΔH_f (0 K) (eV per atom) = 0.3337
- E_tot (eV per atom) = -33.061
- M_tot (μB per atom) = 0.0000

Lattice parameters (Å, degrees): 4.558 4.458 5.385 90.00 115.04 90.00
Element x y z (fractional)
Cd: 0.421 0.750 0.843
Cd: 0.579 0.250 0.157
Mo: 0.103 0.750 0.206
Mo: 0.897 0.250 0.794
Mo: 0.755 0.750 0.510
Mo: 0.245 0.250 0.490

***

Compound: CdMo
Source: Alexandria
Functional: meta-GGA SCAN
Structure: PBEsol geometry

Results
- SG = No. 225
- ΔE to the lowest computed polymorph (eV per formula unit) = 2.28
- ΔH_f (0 K) (eV per atom) = 1.5946
- E_tot (eV per atom) = -31.055
- M_tot (μB per atom) = 0.0001

Lattice parameters (Å, degrees): 3.809 3.809 3.809 60.00 60.00 60.00
Element x y z (fractional)
Mo: 0.500 0.500 0.500
Cd: 0.000 0.000 0.000

***

Compound: CdMo
Source: Alexandria
Functional: meta-GGA SCAN
Structure: PBEsol geometry

Results
- SG = No. 65
- ΔE to the lowest computed polymorph (eV per formula unit) = 0.00
- ΔH_f (0 K) (eV per atom) = 0.4531
- E_tot (eV per atom) = -32.197
- M_tot (μB per atom) = 0.0000

Lattice parameters (Å, degrees): 2.727 2.727 4.611 90.00 90.00 98.73
Element x y z (fractional)
Mo: 0.500 0.500 0.500
Cd: 0.000 0.000 0.000